Entry 1:
Here is a relaxed structure of MnAu3Br9 from Alexandria. Energies are from PBE.

a b c (Å): 9.726 9.726 15.385
angles (deg): 112.53 112.53 48.42
Atoms (fractional coordinates):
Mn 0.105 0.895 0.500
Mn 0.895 0.105 0.000
Au 0.194 0.354 0.636
Au 0.354 0.194 0.136
Au 0.368 0.631 0.273
Au 0.631 0.368 0.773
Au 0.725 0.843 0.985
Au 0.843 0.725 0.485
Br 0.034 0.079 0.403
Br 0.079 0.034 0.903
Br 0.103 0.755 0.604
Br 0.152 0.534 0.182
Br 0.267 0.984 0.638
Br 0.345 0.693 0.126
Br 0.397 0.569 0.426
Br 0.534 0.152 0.682
Br 0.565 0.855 0.086
Br 0.569 0.397 0.926
Br 0.592 0.719 0.345
Br 0.693 0.345 0.626
Br 0.719 0.592 0.845
Br 0.755 0.103 0.104
Br 0.837 0.892 0.391
Br 0.855 0.565 0.586
Br 0.892 0.837 0.891
Br 0.984 0.267 0.138

## Properties
As for the density: 4.59 g cm⁻³. As for the space group: Cc, No. 9. For the uncorrected energy, the calculation gives -74.681 eV/cell. As for the uncorrected formation energy: -0.253 eV per atom.

Entry 2:
Here is a relaxed structure of LiScTe from Alexandria. Energies are from PBE.

a b c (Å): 4.326 4.326 3.769
angles (deg): 90.00 90.00 120.00
Atoms (fractional coordinates):
Li 0.000 0.000 0.000
Sc 0.667 0.333 0.500
Te 0.333 0.667 0.000

## Properties
As for the density: 4.88 g cm⁻³. As for the space group: P-6m2, No. 187. For the uncorrected energy, the calculation gives -13.488 eV/cell. As for the uncorrected formation energy: -0.700 eV per atom. The value obtained for the energy relative to the lowest polymorph listed for this composition is 0.0 meV/atom.

Entry 3:
Here is a relaxed structure of Nd2CuSn2Rh5 from Alexandria. Energies are from PBE.

a b c (Å): 10.312 10.312 3.615
angles (deg): 90.00 90.00 90.00
Atoms (fractional coordinates):
Nd 0.169 0.331 0.000
Nd 0.331 0.831 0.000
Nd 0.669 0.169 0.000
Nd 0.831 0.669 0.000
Cu 0.000 0.000 0.000
Cu 0.500 0.500 0.000
Sn 0.132 0.632 0.000
Sn 0.368 0.132 0.000
Sn 0.632 0.868 0.000
Sn 0.868 0.368 0.000
Rh 0.000 0.500 0.500
Rh 0.053 0.806 0.500
Rh 0.194 0.053 0.500
Rh 0.306 0.553 0.500
Rh 0.447 0.306 0.500
Rh 0.500 0.000 0.500
Rh 0.553 0.694 0.500
Rh 0.694 0.447 0.500
Rh 0.806 0.947 0.500
Rh 0.947 0.194 0.500

## Properties
As for the density: 9.54 g cm⁻³. As for the space group: P4/mbm, No. 127. For the uncorrected energy, the calculation gives -124.326 eV/cell. The calculation puts the energy relative to the elements at -3.77 eV/f.u.

Entry 4:
Here is a relaxed structure of Ti5Ir2PdPt2 from Alexandria. Energies are from PBE.

a b c (Å): 10.834 10.834 2.889
angles (deg): 90.00 90.00 90.00
Atoms (fractional coordinates):
Ti 0.000 0.500 0.000
Ti 0.139 0.158 0.000
Ti 0.158 0.861 0.000
Ti 0.342 0.361 0.000
Ti 0.361 0.658 0.000
Ti 0.500 0.000 0.000
Ti 0.639 0.342 0.000
Ti 0.658 0.639 0.000
Ti 0.842 0.139 0.000
Ti 0.861 0.842 0.000
Ir 0.145 0.355 0.500
Ir 0.355 0.855 0.500
Ir 0.645 0.145 0.500
Ir 0.855 0.645 0.500
Pd 0.000 0.000 0.500
Pd 0.500 0.500 0.500
Pt 0.152 0.652 0.500
Pt 0.348 0.152 0.500
Pt 0.652 0.848 0.500
Pt 0.848 0.348 0.500

## Properties
As for the density: 10.97 g cm⁻³. As for the space group: P4/mbm, No. 127. For the uncorrected energy, the calculation gives -160.221 eV/cell. The calculation puts the energy relative to the elements at -5.64 eV/f.u.

The records above give, respectively, M_tot values of 4.0, 0.0, 0.0, 0.0 μB/f.u..